(1)
# PrAl6Cu4

An optimized crystal structure of PrAl6Cu4 (PBE-GGA, Alexandria).

Output
formation energy: -0.33 eV/atom
size of the total moment: 0.0 Bohr magnetons per cell
calculated total energy: -4.300 eV/atom

```
PrAl6Cu4
1.0
7.097 0.000 0.000
-3.549 6.147 0.000
0.000 0.000 4.047
Pr Al Cu
1 6 4
Direct
0.000 0.000 0.000
0.202 0.404 0.500
0.202 0.798 0.500
0.534 0.069 0.000
0.534 0.466 0.000
0.596 0.798 0.500
0.931 0.466 0.000
0.333 0.667 0.000
0.417 0.209 0.500
0.791 0.209 0.500
0.791 0.583 0.500
```

=====

(2)
# Pr2Al2Cu15

An optimized crystal structure of Pr2Al2Cu15 (PBE-GGA, Alexandria).

Output
formation energy: -0.15 eV/atom
size of the total moment: 0.0 Bohr magnetons per cell
calculated total energy: -4.280 eV/atom

```
Pr2Al2Cu15
1.0
4.336 2.503 4.267
-4.336 2.503 4.267
0.000 -5.007 4.267
Pr Al Cu
2 2 15
Direct
0.149 0.149 0.149
0.851 0.851 0.851
0.397 0.397 0.397
0.603 0.603 0.603
0.000 0.500 0.500
0.155 0.155 0.649
0.155 0.649 0.155
0.208 0.500 0.792
0.208 0.792 0.500
0.351 0.845 0.845
0.500 0.000 0.500
0.500 0.208 0.792
0.500 0.500 0.000
0.500 0.792 0.208
0.649 0.155 0.155
0.792 0.208 0.500
0.792 0.500 0.208
0.845 0.351 0.845
0.845 0.845 0.351
```

=====

(3)
# Pr2Al3Cu

An optimized crystal structure of Pr2Al3Cu (PBE-GGA, Alexandria).

Output
formation energy: -0.41 eV/atom
size of the total moment: 0.0 Bohr magnetons per cell
calculated total energy: -4.560 eV/atom

```
Pr2Al3Cu
1.0
5.327 -2.305 0.000
5.327 2.305 0.000
-5.301 0.000 5.441
Pr Al Cu
2 3 1
Direct
0.000 0.000 0.000
0.094 0.094 0.594
0.379 0.379 0.193
0.399 0.399 0.600
0.711 0.711 0.398
0.717 0.717 0.034
```

=====

(4)
# PrAlCu3

An optimized crystal structure of PrAlCu3 (PBE-GGA, Alexandria).

Output
formation energy: -0.20 eV/atom
size of the total moment: 0.0 Bohr magnetons per cell
calculated total energy: -4.362 eV/atom
ΔE to the lowest computed polymorph: 0 meV/atom

```
PrAlCu3
1.0
-2.539 4.363 4.187
2.539 -4.363 4.187
2.539 4.363 -4.187
Pr Al Cu
2 2 6
Direct
0.298 0.048 0.250
0.702 0.952 0.750
0.000 0.500 0.500
0.500 0.500 0.000
0.086 0.336 0.750
0.231 0.000 0.731
0.231 0.500 0.231
0.769 0.000 0.269
0.769 0.500 0.769
0.914 0.664 0.250
```

=====

(5)
# Pr2AlCu9

An optimized crystal structure of Pr2AlCu9 (PBE-GGA, Alexandria).

Output
formation energy: -0.02 eV/atom
size of the total moment: 0.0 Bohr magnetons per cell
calculated total energy: -4.203 eV/atom

```
Pr2AlCu9
1.0
2.552 1.474 8.497
-2.552 1.474 8.497
0.000 -2.947 8.497
Pr Al Cu
2 1 9
Direct
0.134 0.134 0.134
0.866 0.866 0.866
0.000 0.000 0.000
0.078 0.579 0.579
0.333 0.333 0.333
0.421 0.421 0.922
0.421 0.922 0.421
0.500 0.500 0.500
0.579 0.078 0.579
0.579 0.579 0.078
0.667 0.667 0.667
0.922 0.421 0.421
```

=====

(6)
# PrAl3Cu2

An optimized crystal structure of PrAl3Cu2 (PBE-GGA, Alexandria).

Output
formation energy: -0.35 eV/atom
size of the total moment: 0.0 Bohr magnetons per cell
calculated total energy: -4.381 eV/atom

```
PrAl3Cu2
1.0
7.794 -2.052 0.000
7.794 2.052 0.000
-3.303 0.000 6.865
Pr Al Cu
2 6 4
Direct
0.151 0.151 0.076
0.849 0.849 0.924
0.035 0.035 0.360
0.318 0.318 0.558
0.394 0.394 0.297
0.606 0.606 0.703
0.682 0.682 0.442
0.965 0.965 0.640
0.188 0.188 0.662
0.483 0.483 0.829
0.517 0.517 0.171
0.812 0.812 0.338
```

=====

(7)
# PrAl2Cu10

An optimized crystal structure of PrAl2Cu10 (PBE-GGA, Alexandria).

Output
formation energy: -0.13 eV/atom
size of the total moment: 0.0 Bohr magnetons per cell
calculated total energy: -4.224 eV/atom

```
PrAl2Cu10
1.0
0.000 5.965 6.225
2.491 0.000 6.225
2.491 5.965 0.000
Pr Al Cu
1 2 10
Direct
0.000 0.000 0.000
0.000 0.500 0.000
0.500 0.000 0.500
0.000 0.000 0.500
0.003 0.645 0.355
0.274 0.501 0.499
0.355 0.997 0.003
0.499 0.726 0.274
0.500 0.500 0.000
0.501 0.274 0.726
0.645 0.003 0.997
0.726 0.499 0.501
0.997 0.355 0.645
```

=====

(8)
# Pr2Al5Cu4

An optimized crystal structure of Pr2Al5Cu4 (PBE-GGA, Alexandria).

Output
formation energy: -0.35 eV/atom
size of the total moment: 0.0 Bohr magnetons per cell
calculated total energy: -4.410 eV/atom

```
Pr2Al5Cu4
1.0
0.000 4.828 7.466
2.805 0.000 7.466
2.805 4.828 0.000
Pr Al Cu
2 5 4
Direct
0.134 0.134 0.866
0.866 0.866 0.134
0.000 0.000 0.500
0.250 0.250 0.250
0.500 0.500 0.000
0.500 0.500 0.500
0.750 0.750 0.750
0.223 0.507 0.493
0.493 0.777 0.223
0.507 0.223 0.777
0.777 0.493 0.507
```

=====

(9)
# Pr2AlCu

An optimized crystal structure of Pr2AlCu (PBE-GGA, Alexandria).

Output
formation energy: -0.21 eV/atom
size of the total moment: 0.0 Bohr magnetons per cell
calculated total energy: -4.557 eV/atom

```
Pr2AlCu
1.0
4.648 -3.803 0.000
4.648 3.803 0.000
0.000 0.000 5.536
Pr Al Cu
4 2 2
Direct
0.028 0.322 0.250
0.322 0.028 0.750
0.678 0.972 0.250
0.972 0.678 0.750
0.223 0.777 0.250
0.777 0.223 0.750
0.500 0.500 0.000
0.500 0.500 0.500
```

=====

(10)
# PrAlCu4

An optimized crystal structure of PrAlCu4 (PBE-GGA, Alexandria).

Output
formation energy: -0.23 eV/atom
size of the total moment: 0.0 Bohr magnetons per cell
calculated total energy: -4.377 eV/atom

```
PrAlCu4
1.0
5.320 0.000 0.000
-2.660 4.607 0.000
0.000 0.000 4.013
Pr Al Cu
1 1 4
Direct
0.000 0.000 0.000
0.333 0.667 0.000
0.501 0.002 0.500
0.501 0.499 0.500
0.667 0.333 0.000
0.998 0.499 0.500
```

=====

(11)
# PrAl3Cu3

An optimized crystal structure of PrAl3Cu3 (PBE-GGA, Alexandria).

Output
formation energy: -0.14 eV/atom
size of the total moment: 0.0 Bohr magnetons per cell
calculated total energy: -4.178 eV/atom
ΔE to the lowest computed polymorph: 135 meV/atom

```
PrAl3Cu3
1.0
8.212 0.000 0.000
0.000 4.214 0.000
-4.105 0.000 7.134
Pr Al Cu
2 6 6
Direct
0.166 0.250 0.333
0.834 0.750 0.667
0.229 0.250 0.765
0.266 0.750 0.038
0.463 0.750 0.728
0.537 0.250 0.272
0.734 0.250 0.962
0.771 0.750 0.235
0.059 0.250 0.946
0.112 0.750 0.557
0.446 0.750 0.388
0.554 0.250 0.612
0.888 0.250 0.443
0.941 0.750 0.054
```

=====

(12)
# PrAlCu11

An optimized crystal structure of PrAlCu11 (PBE-GGA, Alexandria).

Output
formation energy: -0.12 eV/atom
size of the total moment: 0.0 Bohr magnetons per cell
calculated total energy: -4.241 eV/atom

```
PrAlCu11
1.0
2.436 -5.994 0.000
2.436 5.994 0.000
-2.385 0.000 6.203
Pr Al Cu
1 1 11
Direct
0.000 0.000 0.000
0.500 0.500 0.500
0.000 0.000 0.500
0.000 0.500 0.000
0.008 0.649 0.646
0.274 0.503 0.773
0.351 0.992 0.354
0.497 0.726 0.227
0.500 0.000 0.000
0.503 0.274 0.773
0.649 0.008 0.646
0.726 0.497 0.227
0.992 0.351 0.354
```

=====

(13)
# Pr2Al6Cu

An optimized crystal structure of Pr2Al6Cu (PBE-GGA, Alexandria).

Output
formation energy: -0.38 eV/atom
size of the total moment: 0.0 Bohr magnetons per cell
calculated total energy: -4.396 eV/atom

```
Pr2Al6Cu
1.0
5.973 0.000 0.000
-2.987 5.173 0.000
0.000 0.000 5.866
Pr Al Cu
2 6 1
Direct
0.333 0.667 0.353
0.667 0.333 0.647
0.171 0.343 0.823
0.171 0.829 0.823
0.343 0.171 0.177
0.657 0.829 0.823
0.829 0.171 0.177
0.829 0.657 0.177
0.000 0.000 0.500
```

=====

(14)
# Pr3Al9Cu2

An optimized crystal structure of Pr3Al9Cu2 (PBE-GGA, Alexandria).

Output
formation energy: -0.42 eV/atom
size of the total moment: 0.0 Bohr magnetons per cell
calculated total energy: -4.432 eV/atom

```
Pr3Al9Cu2
1.0
-2.178 5.091 6.245
2.178 -5.091 6.245
2.178 5.091 -6.245
Pr Al Cu
3 9 2
Direct
0.000 0.000 0.000
0.315 0.315 0.000
0.685 0.685 0.000
0.028 0.662 0.367
0.154 0.876 0.278
0.295 0.662 0.633
0.402 0.124 0.278
0.500 0.000 0.500
0.598 0.876 0.722
0.705 0.338 0.367
0.846 0.124 0.722
0.972 0.338 0.633
0.281 0.500 0.781
0.719 0.500 0.219
```

=====

(15)
# PrAlCu3

An optimized crystal structure of PrAlCu3 (PBE-GGA, Alexandria).

Output
formation energy: 0.05 eV/atom
size of the total moment: 0.0 Bohr magnetons per cell
calculated total energy: -4.112 eV/atom
ΔE to the lowest computed polymorph: 250 meV/atom

```
PrAlCu3
1.0
3.238 -3.273 0.000
3.238 3.273 0.000
0.000 0.000 4.594
Pr Al Cu
1 1 3
Direct
0.000 0.000 0.000
0.500 0.500 0.500
0.000 0.500 0.500
0.500 0.000 0.500
0.500 0.500 0.000
```

=====

(16)
# PrAl2Cu9

An optimized crystal structure of PrAl2Cu9 (PBE-GGA, Alexandria).

Output
formation energy: -0.19 eV/atom
size of the total moment: 0.0 Bohr magnetons per cell
calculated total energy: -4.286 eV/atom
ΔE to the lowest computed polymorph: 0 meV/atom

```
PrAl2Cu9
1.0
-5.102 5.102 3.321
5.102 -5.102 3.321
5.102 5.102 -3.321
Pr Al Cu
2 4 18
Direct
0.375 0.625 0.750
0.625 0.375 0.250
0.000 0.000 0.000
0.000 0.000 0.500
0.000 0.500 0.000
0.500 0.000 0.500
0.125 0.875 0.250
0.141 0.560 0.335
0.141 0.807 0.581
0.193 0.275 0.335
0.193 0.859 0.919
0.275 0.193 0.835
0.275 0.440 0.081
0.440 0.275 0.581
0.440 0.859 0.165
0.560 0.141 0.835
0.560 0.725 0.419
0.725 0.560 0.919
0.725 0.807 0.165
0.807 0.141 0.081
0.807 0.725 0.665
0.859 0.193 0.419
0.859 0.440 0.665
0.875 0.125 0.750
```

=====

(17)
# Pr2Al3Cu

An optimized crystal structure of Pr2Al3Cu (PBE-GGA, Alexandria).

Output
formation energy: -0.39 eV/atom
size of the total moment: 0.0 Bohr magnetons per cell
calculated total energy: -4.538 eV/atom

```
Pr2Al3Cu
1.0
0.000 4.545 7.869
3.870 0.000 7.869
3.870 4.545 0.000
Pr Al Cu
4 6 2
Direct
0.243 0.757 0.757
0.250 0.250 0.250
0.750 0.750 0.750
0.757 0.243 0.243
0.162 0.668 0.332
0.331 0.331 0.669
0.332 0.838 0.162
0.668 0.162 0.838
0.669 0.669 0.331
0.838 0.332 0.668
0.168 0.168 0.832
0.832 0.832 0.168
```

=====

(18)
# PrAl4Cu6

An optimized crystal structure of PrAl4Cu6 (PBE-GGA, Alexandria).

Output
formation energy: -0.25 eV/atom
size of the total moment: 0.0 Bohr magnetons per cell
calculated total energy: -4.284 eV/atom

```
PrAl4Cu6
1.0
6.934 0.000 0.000
-3.467 6.005 0.000
0.000 0.000 4.103
Pr Al Cu
1 4 6
Direct
0.000 0.000 0.000
0.333 0.667 0.000
0.398 0.199 0.500
0.801 0.199 0.500
0.801 0.602 0.500
0.210 0.420 0.500
0.210 0.790 0.500
0.540 0.079 0.000
0.540 0.460 0.000
0.580 0.790 0.500
0.921 0.460 0.000
```

=====

(19)
# Pr5AlCu2

An optimized crystal structure of Pr5AlCu2 (PBE-GGA, Alexandria).

Output
formation energy: -0.14 eV/atom
size of the total moment: 0.0 Bohr magnetons per cell
calculated total energy: -4.616 eV/atom

```
Pr5AlCu2
1.0
-4.106 4.106 6.567
4.106 -4.106 6.567
4.106 4.106 -6.567
Pr Al Cu
10 2 4
Direct
0.000 0.000 0.000
0.013 0.513 0.816
0.197 0.013 0.500
0.303 0.803 0.816
0.487 0.303 0.500
0.500 0.500 0.000
0.513 0.697 0.500
0.697 0.197 0.184
0.803 0.987 0.500
0.987 0.487 0.184
0.250 0.250 0.000
0.750 0.750 0.000
0.125 0.375 0.500
0.375 0.875 0.250
0.625 0.125 0.750
0.875 0.625 0.500
```

=====

(20)
# PrAl3Cu3

An optimized crystal structure of PrAl3Cu3 (PBE-GGA, Alexandria).

Output
formation energy: -0.27 eV/atom
size of the total moment: 0.0 Bohr magnetons per cell
calculated total energy: -4.313 eV/atom
ΔE to the lowest computed polymorph: 0 meV/atom

```
PrAl3Cu3
1.0
3.539 2.043 5.522
-3.539 2.043 5.522
0.000 -4.087 5.522
Pr Al Cu
2 6 6
Direct
0.130 0.130 0.130
0.870 0.870 0.870
0.183 0.183 0.564
0.183 0.564 0.183
0.436 0.817 0.817
0.564 0.183 0.183
0.817 0.436 0.817
0.817 0.817 0.436
0.192 0.559 0.559
0.441 0.441 0.808
0.441 0.808 0.441
0.559 0.192 0.559
0.559 0.559 0.192
0.808 0.441 0.441
```